Record 1
The following is a PBE calculation of a geometry-optimized Mg2TaCd structure, from Alexandria via LeMat-Bulk.

The space group is I-42d (No. 122) and the conventional cell measures 7.666, 7.666 and 5.819 Å, with angles of 90.00, 90.00 and 90.00 degrees. The asymmetric unit holds Mg at (0.233, 0.250, 0.125), Ta at (0.000, 0.000, 0.500) and Cd at (0.000, 0.000, 0.000).

***

Record 2
The following is a PBE calculation of a geometry-optimized MgTaCd2 structure, from Alexandria via LeMat-Bulk.

The space group is C2/m (No. 12) and the conventional cell measures 10.079, 2.931 and 5.588 Å, with angles of 90.00, 99.95 and 90.00 degrees. The asymmetric unit holds Mg at (0.000, 0.000, 0.000), Ta at (0.000, 0.500, 0.500) and Cd at (0.249, 0.500, 0.257).

***

Calculated formation energy list, top to bottom, in eV/atom: 0.7305; 0.3114